First-principles (GGA-PBEsol) data for an optimized crystal structure of ReAsRh, as listed in Alexandria via LeMat-Bulk.

## Properties
As for the density of states at the Fermi level: 3.27 states/eV/f.u. The calculation puts the total magnetization at 0.0 μB per formula unit. The formation energy from the elements is 23.7 kJ/mol of atoms.

abc: 4.143 4.143 4.143
angles: 60.00 60.00 60.00
Sites, in units of the cell vectors:
Re1 0.000 0.000 0.000
As1 0.250 0.250 0.250
Rh1 0.750 0.750 0.750